[1]
Below is a relaxed Pm4Nd5Th2 crystal, with properties calculated at the PBE level.

Values from the calculation:
- DFT formation energy (eV/atom) = 0.129

extended XYZ file:
```
11
Lattice="9.058 0.000 0.000 0.000 3.526 0.000 -0.879 0.000 11.998" Properties=species:S:1:pos:R:3 pbc="T T T"
Pm 1.064 0.000 4.736
Pm 1.913 0.000 11.430
Pm 6.266 0.000 0.568
Pm 7.115 0.000 7.262
Nd 1.182 1.763 8.027
Nd 3.610 1.763 2.555
Nd 4.090 1.763 5.999
Nd 4.569 1.763 9.443
Nd 6.997 1.763 3.971
Th 0.287 1.763 1.558
Th 7.892 1.763 10.440
```

---

[2]
Below is a relaxed Pm8Nd5Th crystal, with properties calculated at the PBE level.

Values from the calculation:
- DFT formation energy (eV/atom) = 0.267

extended XYZ file:
```
14
Lattice="-4.918 4.918 5.120 4.918 -4.918 5.120 4.918 4.918 -5.120" Properties=species:S:1:pos:R:3 pbc="T T T"
Pm 4.058 1.797 0.004
Pm 0.671 1.691 1.625
Pm 3.121 -0.860 5.115
Pm 1.797 5.779 -0.004
Pm -3.227 4.247 3.495
Pm 0.860 3.121 5.124
Pm 3.227 5.589 3.495
Pm -0.671 8.145 1.625
Nd 2.858 -1.064 1.739
Nd 5.982 -2.060 3.381
Nd 6.978 1.064 1.739
Nd 3.854 2.060 3.381
Nd 0.000 4.918 2.560
Th 0.000 0.000 5.120
```

---

[3]
Below is a relaxed PmNd2Th crystal, with properties calculated at the PBE level.

Values from the calculation:
- DFT formation energy (eV/atom) = 0.061

extended XYZ file:
```
4
Lattice="5.148 0.000 0.000 0.000 5.148 0.000 0.000 0.000 5.149" Properties=species:S:1:pos:R:3 pbc="T T T"
Pm 0.000 0.000 0.000
Nd 0.000 2.574 2.574
Nd 2.574 0.000 2.574
Th 2.574 2.574 0.000
```

---

[4]
Below is a relaxed Pm3NdTh3 crystal, with properties calculated at the PBE level.

Values from the calculation:
- DFT formation energy (eV/atom) = 0.079

extended XYZ file:
```
14
Lattice="9.604 0.000 0.000 -4.802 8.317 0.000 0.000 0.000 5.953" Properties=species:S:1:pos:R:3 pbc="T T T"
Pm -0.747 2.014 1.488
Pm -2.684 7.957 1.488
Pm 1.371 1.654 4.465
Pm 3.431 6.663 1.488
Pm 7.486 0.360 4.465
Pm 5.549 6.303 4.465
Nd 0.000 5.545 1.488
Nd 4.802 2.772 4.465
Th -1.359 4.062 4.465
Th -0.605 7.464 4.465
Th 2.838 3.208 1.488
Th 1.964 5.110 4.465
Th 5.407 0.854 1.488
Th 6.161 4.256 1.488
```

---

[5]
Below is a relaxed PmNd2Th crystal, with properties calculated at the PBE level.

Values from the calculation:
- DFT formation energy (eV/atom) = 0.194

extended XYZ file:
```
4
Lattice="1.767 1.020 12.793 -1.767 1.020 12.793 0.000 -2.040 12.793" Properties=species:S:1:pos:R:3 pbc="T T T"
Pm 0.000 0.000 0.000
Nd 0.000 0.000 15.777
Nd 0.000 0.000 22.602
Th 0.000 0.000 19.189
```

---

[6]
Below is a relaxed Pm12Nd5Th2 crystal, with properties calculated at the PBE level.

Values from the calculation:
- DFT formation energy (eV/atom) = 0.120

extended XYZ file:
```
19
Lattice="9.120 -5.927 0.000 9.120 5.927 0.000 -1.438 0.000 6.087" Properties=species:S:1:pos:R:3 pbc="T T T"
Pm 4.364 3.014 4.870
Pm 0.586 0.000 1.632
Pm 6.699 3.000 2.378
Pm 10.103 3.000 3.709
Pm 6.987 0.000 0.017
Pm 12.438 3.014 1.217
Pm 4.364 -3.014 4.870
Pm 9.814 0.000 6.071
Pm 6.699 -3.000 2.378
Pm 10.103 -3.000 3.709
Pm 16.216 0.000 4.455
Pm 12.438 -3.014 1.217
Nd 2.003 0.000 5.203
Nd 4.575 0.000 2.697
Nd 8.401 0.000 3.044
Nd 12.227 0.000 3.390
Nd 14.798 0.000 0.884
Th 9.120 2.749 0.000
Th 9.120 -2.749 0.000
```

---

[7]
Below is a relaxed Pm3Nd6Th2 crystal, with properties calculated at the PBE level.

Values from the calculation:
- DFT formation energy (eV/atom) = 0.024

extended XYZ file:
```
11
Lattice="1.824 1.053 32.902 -1.824 1.053 32.902 0.000 -2.106 32.902" Properties=species:S:1:pos:R:3 pbc="T T T"
Pm 0.000 0.000 0.000
Pm 0.000 0.000 26.919
Pm 0.000 0.000 71.787
Nd 0.000 0.000 9.081
Nd 0.000 0.000 18.057
Nd 0.000 0.000 35.910
Nd 0.000 0.000 62.796
Nd 0.000 0.000 80.648
Nd 0.000 0.000 89.625
Th 0.000 0.000 44.878
Th 0.000 0.000 53.827
```

---

[8]
Below is a relaxed PmNdTh2 crystal, with properties calculated at the PBE level.

Values from the calculation:
- DFT formation energy (eV/atom) = 0.208

extended XYZ file:
```
4
Lattice="0.000 4.054 4.054 4.054 0.000 4.054 4.054 4.054 0.000" Properties=species:S:1:pos:R:3 pbc="T T T"
Pm 0.000 0.000 0.000
Nd 4.054 4.054 4.054
Th 2.027 2.027 2.027
Th 6.081 6.081 6.081
```

---

[9]
Below is a relaxed PmNdTh2 crystal, with properties calculated at the PBE level.

Values from the calculation:
- DFT formation energy (eV/atom) = 0.061

extended XYZ file:
```
4
Lattice="1.804 1.042 11.843 -1.804 1.042 11.843 0.000 -2.083 11.843" Properties=species:S:1:pos:R:3 pbc="T T T"
Pm 0.000 0.000 0.000
Nd 0.000 0.000 29.491
Th 0.000 0.000 8.845
Th 0.000 0.000 14.740
```

---

[10]
Below is a relaxed PmNd2Th2 crystal, with properties calculated at the PBE level.

Values from the calculation:
- DFT formation energy (eV/atom) = 0.032

extended XYZ file:
```
5
Lattice="-1.809 1.809 12.952 1.809 -1.809 12.952 1.809 1.809 -12.952" Properties=species:S:1:pos:R:3 pbc="T T T"
Pm 0.000 0.000 0.000
Nd 0.000 0.000 10.250
Nd 0.000 0.000 15.653
Th 0.000 0.000 5.264
Th 0.000 0.000 20.640
```

---

[11]
Below is a relaxed Pm4NdTh crystal, with properties calculated at the PBE level.

Values from the calculation:
- DFT formation energy (eV/atom) = 0.317

extended XYZ file:
```
6
Lattice="0.000 4.693 4.693 4.693 0.000 4.693 4.693 4.693 0.000" Properties=species:S:1:pos:R:3 pbc="T T T"
Pm 1.167 1.167 1.167
Pm 3.525 3.525 1.167
Pm 3.525 1.167 3.525
Pm 1.167 3.525 3.525
Nd 4.693 4.693 4.693
Th 7.039 7.039 7.039
```

---

[12]
Below is a relaxed Pm8Nd2Th crystal, with properties calculated at the PBE level.

Values from the calculation:
- DFT formation energy (eV/atom) = 0.027

extended XYZ file:
```
11
Lattice="9.306 -2.579 0.000 9.306 2.579 0.000 -2.138 0.000 7.887" Properties=species:S:1:pos:R:3 pbc="T T T"
Pm 0.322 0.000 1.844
Pm 1.044 0.000 5.340
Pm 4.701 0.000 4.667
Pm 7.525 0.000 0.393
Pm 8.950 0.000 7.494
Pm 11.774 0.000 3.220
Pm 15.431 0.000 2.547
Pm 16.153 0.000 6.043
Nd 3.951 0.000 1.077
Nd 12.524 0.000 6.810
Th 8.237 0.000 3.944
```

---

V (computed, Å³ per cell): 383, 495, 136, 476, 138, 658, 379, 133, 134, 170, 207, 379
Calculated density (computed, g/cm3): 7.65, 7.08, 8.10, 8.91, 7.99, 7.38, 7.73, 9.39, 9.37, 8.79, 7.68, 7.37